[1]
Tb5CdPb6: optimized geometry, PBE.

Results
- Raw total energy: -51.17 eV per cell
- Density of states at the Fermi level: 0.728 states/eV/atom
- Total magnetization: 0.00 μB per cell
- Volume: 338.3 Å³ per cell

a b c (Å): 4.898 9.012 9.227
angles (deg): 119.23 105.52 90.00
Element x y z (fractional)
Pb  0.171  0.424  0.341
Pb  0.171  0.918  0.341
Pb  0.500  0.262  0.000
Pb  0.500  0.738  0.000
Pb  0.829  0.082  0.659
Pb  0.829  0.576  0.659
Tb  0.356  0.856  0.711
Tb  0.670  0.670  0.339
Tb  0.000  0.500  0.000
Tb  0.330  0.330  0.661
Tb  0.644  0.144  0.289
Cd  0.000  0.000  0.000

[2]
SmMgBr: optimized geometry, PBE.

Results
- Energy relative to the elements, uncorrected: -0.63 eV per atom
- Raw total energy: -19.77 eV per cell
- Density of states at the Fermi level: 0.611 states/eV/atom
- Total magnetization: 0.00 μB per cell
- Volume: 183.5 Å³ per cell

a b c (Å): 3.680 3.679 15.653
angles (deg): 90.00 90.00 120.00
Element x y z (fractional)
Mg  0.333  0.667  0.000
Mg  0.333  0.667  0.500
Sm  0.667  0.333  0.330
Sm  0.667  0.333  0.670
Br  0.333  0.667  0.805
Br  0.333  0.667  0.195

[3]
TaTlAs2: optimized geometry, PBE.

Results
- Raw total energy: -21.56 eV per cell
- Energy above the lowest structure with this stoichiometry: 631 meV/atom
- Density of states at the Fermi level: 0.542 states/eV/atom
- Total magnetization: 0.00 μB per cell
- Volume: 80.2 Å³ per cell

a b c (Å): 5.710 5.710 5.710
angles (deg): 138.73 138.73 59.79
Element x y z (fractional)
Tl  0.750  0.250  0.500
As  0.000  0.000  0.000
As  0.250  0.750  0.500
Ta  0.500  0.500  0.000

[4]
KNbTc3: optimized geometry, PBE.

Results
- Raw total energy: -28.30 eV per cell
- Energy above the lowest structure with this stoichiometry: 1077 meV/atom
- Density of states at the Fermi level: 0.724 states/eV/atom
- Total magnetization: 0.00 μB per cell
- Volume: 88.0 Å³ per cell

a b c (Å): 4.447 4.447 4.447
angles (deg): 90.00 90.00 90.00
Element x y z (fractional)
K  0.000  0.000  0.000
Nb  0.500  0.500  0.500
Tc  0.000  0.500  0.000
Tc  0.000  0.000  0.500
Tc  0.500  0.000  0.000

[5]
NaAcNbN3: optimized geometry, PBE.

Results
- Energy relative to the elements, uncorrected: -0.89 eV per atom
- Raw total energy: -91.63 eV per cell
- Total magnetization: 0.00 μB per cell
- Volume: 184.6 Å³ per cell

a b c (Å): 5.661 5.808 6.450
angles (deg): 63.24 84.22 77.08
Element x y z (fractional)
Na  0.250  0.566  0.867
Na  0.750  0.434  0.133
Ac  0.250  0.254  0.492
Ac  0.750  0.746  0.508
Nb  0.750  0.049  0.903
Nb  0.250  0.951  0.097
N  0.482  0.849  0.883
N  0.018  0.268  0.883
N  0.750  0.224  0.551
N  0.518  0.151  0.117
N  0.982  0.732  0.117
N  0.250  0.776  0.449

[6]
PrTl2Cd2Se4: optimized geometry, PBE.

Results
- Energy relative to the elements, uncorrected: -0.76 eV per atom
- Raw total energy: -32.16 eV per cell
- Density of states at the Fermi level: 0.332 states/eV/atom
- Total magnetization: 0.00 μB per cell
- Volume: 268.4 Å³ per cell

a b c (Å): 4.326 8.120 8.641
angles (deg): 113.21 104.49 90.00
Element x y z (fractional)
Pr  0.000  0.000  0.000
Tl  0.125  0.554  0.250
Tl  0.875  0.446  0.750
Cd  0.688  0.014  0.375
Cd  0.312  0.986  0.625
Se  0.196  0.232  0.392
Se  0.804  0.768  0.608
Se  0.521  0.764  0.043
Se  0.479  0.236  0.957

[7]
BaLa2ZnRh: optimized geometry, PBE.

Results
- Raw total energy: -21.68 eV per cell
- Density of states at the Fermi level: 0.729 states/eV/atom
- Total magnetization: 0.00 μB per cell
- Volume: 162.8 Å³ per cell

a b c (Å): 5.550 5.550 5.283
angles (deg): 90.00 90.00 90.00
Element x y z (fractional)
Zn  0.000  0.000  0.500
Rh  0.000  0.000  0.000
Ba  0.500  0.500  0.500
La  0.000  0.500  0.000
La  0.500  0.000  0.000

[8]
BaGa2ReO8: optimized geometry, PBE.

Results
- Energy relative to the elements, uncorrected: -1.70 eV per atom
- Raw total energy: -80.44 eV per cell
- Total magnetization: 1.02 μB per cell
- Volume: 180.3 Å³ per cell

a b c (Å): 5.049 5.047 7.663
angles (deg): 81.41 81.41 69.84
Element x y z (fractional)
Ba  0.000  0.000  0.500
Ga  0.404  0.403  0.777
Ga  0.596  0.597  0.223
Re  0.000  0.000  0.000
O  0.216  0.760  0.182
O  0.773  0.773  0.033
O  0.760  0.216  0.182
O  0.784  0.240  0.818
O  0.227  0.227  0.967
O  0.240  0.784  0.818
O  0.642  0.643  0.447
O  0.358  0.357  0.553

> Which value of raw total energy does entry 5 give?

-91.63 eV per cell